## BaCoTeO (PBE with a Hubbard U)

Data for an optimized crystal structure of BaCoTeO.

extended XYZ file:
```
8
Lattice="-0.015 -2.638 3.067 3.322 1.742 1.515 -5.847 6.395 5.470" Properties=species:S:1:pos:R:3 pbc="T T T"
O -1.069 3.210 6.757
O -1.472 2.290 3.295
Co 2.488 0.647 1.903
Co 0.819 -1.543 2.679
Te -2.583 4.866 8.173
Te 0.043 0.634 1.879
Ba -2.911 3.864 4.642
Ba 0.370 1.635 5.410
```

Summary:
Uncorrected energy (eV/atom): -4.75
Total magnetic moment (μB per formula unit): 0.7